Here is a relaxed C5Se crystal from Alexandria. Energies are from PBE-GGA.

```
C5Se
1.0
8.139 0.000 0.000
0.000 2.613 0.000
-2.904 0.000 6.770
C Se
10 2
Direct
0.000 0.000 0.000
0.055 0.500 0.092
0.209 0.000 0.491
0.324 0.000 0.696
0.379 0.500 0.795
0.500 0.500 0.000
0.555 0.000 0.092
0.709 0.500 0.491
0.824 0.500 0.696
0.879 0.000 0.795
0.265 0.500 0.338
0.765 0.000 0.338
```

Calculated values
The value obtained for the formation energy without anion corrections is 4.954 eV per formula unit. As for the polymorph energy (0 for the lowest one): 0.000 eV per atom.

Here is a relaxed C3Se4 crystal from Alexandria. Energies are from PBE-GGA.

```
C3Se4
1.0
4.589 0.000 0.000
0.000 4.589 0.000
0.000 0.000 4.589
C Se
3 4
Direct
0.000 0.000 0.500
0.000 0.500 0.000
0.500 0.000 0.000
0.000 0.000 0.000
0.000 0.500 0.500
0.500 0.000 0.500
0.500 0.500 0.000
```

Calculated values
The value obtained for the formation energy without anion corrections is 12.500 eV per formula unit. As for the polymorph energy (0 for the lowest one): 0.273 eV per atom.

Here is a relaxed C5Se3 crystal from Alexandria. Energies are from PBE-GGA.

```
C5Se3
1.0
3.659 0.000 0.000
0.000 3.659 0.000
0.000 0.000 9.194
C Se
5 3
Direct
0.000 0.000 0.000
0.000 0.000 0.143
0.000 0.000 0.857
0.500 0.500 0.427
0.500 0.500 0.573
0.000 0.000 0.500
0.500 0.500 0.233
0.500 0.500 0.767
```

Calculated values
The value obtained for the formation energy without anion corrections is 13.628 eV per formula unit. As for the polymorph energy (0 for the lowest one): 0.302 eV per atom.

Here is a relaxed CSe crystal from Alexandria. Energies are from PBE-GGA.

```
CSe
1.0
6.237 0.000 0.000
0.000 6.237 0.000
0.000 0.000 6.237
C Se
6 6
Direct
0.000 0.250 0.500
0.000 0.750 0.500
0.250 0.500 0.000
0.500 0.000 0.250
0.500 0.000 0.750
0.750 0.500 0.000
0.000 0.500 0.250
0.000 0.500 0.750
0.250 0.000 0.500
0.500 0.250 0.000
0.500 0.750 0.000
0.750 0.000 0.500
```

Calculated values
The value obtained for the formation energy without anion corrections is 4.079 eV per formula unit. As for the polymorph energy (0 for the lowest one): 1.536 eV per atom.